(1)
Compound: TiZn2GeIr
Source: Alexandria
Functional: GGA-PBEsol
Structure: optimized geometry

a = 4.5788 Å, b = 4.5788 Å, c = 4.6320 Å
α = 90.00°, β = 90.00°, γ = 90.00°
Element x y z (fractional)
Ti  0.0000  0.0000  0.0000
Zn  0.0000  0.5000  0.0000
Zn  0.5000  0.0000  0.0000
Ge  0.0000  0.0000  0.5000
Ir  0.5000  0.5000  0.5000

As for the density of states at the Fermi level: 0.888 states/eV/atom. The calculation puts the energy of formation at 1.44 eV per atom.

---

(2)
Compound: TlGe3Ir
Source: Alexandria
Functional: GGA-PBEsol
Structure: optimized geometry

a = 4.8230 Å, b = 4.8230 Å, c = 4.8230 Å
α = 90.00°, β = 90.00°, γ = 90.00°
Element x y z (fractional)
Ir  0.0000  0.0000  0.0000
Tl  0.5000  0.5000  0.5000
Ge  0.5000  0.0000  0.0000
Ge  0.0000  0.5000  0.0000
Ge  0.0000  0.0000  0.5000

The energy above the lowest structure with this stoichiometry is 0 meV per atom. As for the density of states at the Fermi level: 0.547 states/eV/atom. The calculation puts the energy of formation at 0.26 eV per atom.

---

(3)
Compound: Tl2Ge2Ir
Source: Alexandria
Functional: GGA-PBEsol
Structure: optimized geometry

a = 3.8582 Å, b = 3.8582 Å, c = 8.0916 Å
α = 103.79°, β = 103.79°, γ = 90.00°
Element x y z (fractional)
Tl  0.7500  0.2500  0.5000
Tl  0.2500  0.7500  0.5000
Ge  0.5789  0.5789  0.1577
Ge  0.4211  0.4211  0.8423
Ir  0.0000  0.0000  0.0000

As for the density of states at the Fermi level: 0.772 states/eV/atom. The calculation puts the energy of formation at 0.88 eV per atom.